(1)
The following is a PBE-GGA calculation of a relaxed EuSn2Pd crystal, from Alexandria.

```
EuSn2Pd
1.0
3.433 0.000 0.000
0.000 3.433 0.000
0.000 0.000 7.902
Eu Sn Pd
1 2 1
direct
0.000 0.000 0.000 Eu
0.500 0.500 0.297 Sn
0.500 0.500 0.703 Sn
0.000 0.000 0.500 Pd
```

## Properties
Calculated formation energy ... -0.529 eV/atom

***

(2)
The following is a PBE-GGA calculation of a relaxed EuSn2Pd crystal, from Alexandria.

```
EuSn2Pd
1.0
4.545 0.000 0.000
-2.272 3.936 0.000
0.000 0.000 17.103
Eu Sn Pd
3 6 3
direct
0.000 0.000 0.000 Eu
0.333 0.667 0.667 Eu
0.667 0.333 0.333 Eu
0.000 0.000 0.220 Sn
0.000 0.000 0.780 Sn
0.333 0.667 0.447 Sn
0.333 0.667 0.887 Sn
0.667 0.333 0.113 Sn
0.667 0.333 0.553 Sn
0.000 0.000 0.500 Pd
0.333 0.667 0.167 Pd
0.667 0.333 0.833 Pd
```

## Properties
Calculated formation energy ... -0.662 eV/atom

***

(3)
The following is a PBE-GGA calculation of a relaxed EuSnPd4 crystal, from Alexandria.

```
EuSnPd4
1.0
0.000 3.848 3.848
3.848 0.000 3.848
3.848 3.848 0.000
Eu Sn Pd
1 1 4
direct
0.000 0.000 0.000 Eu
0.750 0.750 0.750 Sn
0.375 0.375 0.375 Pd
0.375 0.375 0.874 Pd
0.375 0.874 0.375 Pd
0.874 0.375 0.375 Pd
```

## Properties
Calculated formation energy ... -0.538 eV/atom

***

(4)
The following is a PBE-GGA calculation of a relaxed EuSn2Pd crystal, from Alexandria.

```
EuSn2Pd
1.0
4.531 0.000 0.000
0.000 4.531 0.000
0.000 0.000 4.596
Eu Sn Pd
1 2 1
direct
0.000 0.000 0.000 Eu
0.000 0.500 0.500 Sn
0.500 0.000 0.500 Sn
0.500 0.500 0.000 Pd
```

## Properties
Calculated formation energy ... -0.500 eV/atom

***

(5)
The following is a PBE-GGA calculation of a relaxed EuSnPd crystal, from Alexandria.

```
EuSnPd
1.0
3.594 0.000 0.000
0.000 3.594 0.000
0.000 0.000 11.213
Eu Sn Pd
2 2 2
direct
0.000 0.000 0.000 Eu
0.500 0.500 0.500 Eu
0.000 0.000 0.703 Sn
0.500 0.500 0.203 Sn
0.000 0.000 0.308 Pd
0.500 0.500 0.808 Pd
```

## Properties
Calculated formation energy ... -0.620 eV/atom

***

(6)
The following is a PBE-GGA calculation of a relaxed EuSnPd crystal, from Alexandria.

```
EuSnPd
1.0
7.541 0.000 0.000
0.000 4.739 0.000
0.000 0.000 8.066
Eu Sn Pd
4 4 4
direct
0.021 0.250 0.188 Eu
0.479 0.750 0.688 Eu
0.521 0.250 0.312 Eu
0.979 0.750 0.812 Eu
0.169 0.250 0.577 Sn
0.331 0.750 0.077 Sn
0.669 0.250 0.923 Sn
0.831 0.750 0.423 Sn
0.206 0.750 0.399 Pd
0.294 0.250 0.899 Pd
0.706 0.750 0.101 Pd
0.794 0.250 0.601 Pd
```

## Properties
Calculated formation energy ... -0.812 eV/atom

***

(7)
The following is a PBE-GGA calculation of a relaxed EuSn2Pd2 crystal, from Alexandria.

```
EuSn2Pd2
1.0
4.588 0.000 0.000
0.000 4.588 0.000
0.000 0.000 11.006
Eu Sn Pd
2 4 4
direct
0.250 0.250 0.246 Eu
0.750 0.750 0.754 Eu
0.250 0.250 0.875 Sn
0.250 0.750 0.500 Sn
0.750 0.250 0.500 Sn
0.750 0.750 0.125 Sn
0.250 0.250 0.634 Pd
0.250 0.750 0.000 Pd
0.750 0.250 0.000 Pd
0.750 0.750 0.366 Pd
```

## Properties
Calculated formation energy ... -0.725 eV/atom

***

(8)
The following is a PBE-GGA calculation of a relaxed EuSnPd2 crystal, from Alexandria.

```
EuSnPd2
1.0
3.533 0.000 0.000
0.000 3.533 0.000
0.000 0.000 6.808
Eu Sn Pd
1 1 2
direct
0.000 0.000 0.000 Eu
0.000 0.000 0.500 Sn
0.500 0.500 0.288 Pd
0.500 0.500 0.712 Pd
```

## Properties
Calculated formation energy ... -0.533 eV/atom

***

(9)
The following is a PBE-GGA calculation of a relaxed EuSnPd2 crystal, from Alexandria.

```
EuSnPd2
1.0
4.811 0.000 0.000
0.000 4.811 0.000
0.000 0.000 3.616
Eu Sn Pd
1 1 2
direct
0.000 0.000 0.000 Eu
0.500 0.500 0.000 Sn
0.000 0.500 0.500 Pd
0.500 0.000 0.500 Pd
```

## Properties
Calculated formation energy ... -0.581 eV/atom

***

(10)
The following is a PBE-GGA calculation of a relaxed SrEuSnPd crystal, from Alexandria.

```
SrEuSnPd
1.0
7.703 0.000 0.000
0.000 7.703 0.000
0.000 0.000 7.703
Sr Eu Sn Pd
4 4 4 4
direct
0.000 0.000 0.000 Sr
0.000 0.500 0.500 Sr
0.500 0.000 0.500 Sr
0.500 0.500 0.000 Sr
0.000 0.000 0.500 Eu
0.000 0.500 0.000 Eu
0.500 0.000 0.000 Eu
0.500 0.500 0.500 Eu
0.250 0.250 0.750 Sn
0.250 0.750 0.250 Sn
0.750 0.250 0.250 Sn
0.750 0.750 0.750 Sn
0.250 0.250 0.250 Pd
0.250 0.750 0.750 Pd
0.750 0.250 0.750 Pd
0.750 0.750 0.250 Pd
```

## Properties
Calculated formation energy ... -0.531 eV/atom

***

(11)
The following is a PBE-GGA calculation of a relaxed EuTmSnPd crystal, from Alexandria.

```
EuTmSnPd
1.0
7.378 0.000 0.000
0.000 7.378 0.000
0.000 0.000 7.378
Eu Tm Sn Pd
4 4 4 4
direct
0.000 0.000 0.000 Eu
0.000 0.500 0.500 Eu
0.500 0.000 0.500 Eu
0.500 0.500 0.000 Eu
0.000 0.000 0.500 Tm
0.000 0.500 0.000 Tm
0.500 0.000 0.000 Tm
0.500 0.500 0.500 Tm
0.250 0.250 0.750 Sn
0.250 0.750 0.250 Sn
0.750 0.250 0.250 Sn
0.750 0.750 0.750 Sn
0.250 0.250 0.250 Pd
0.250 0.750 0.750 Pd
0.750 0.250 0.750 Pd
0.750 0.750 0.250 Pd
```

## Properties
Calculated formation energy ... -0.653 eV/atom

***

(12)
The following is a PBE-GGA calculation of a relaxed SrEu2Pd crystal, from Alexandria.

```
SrEu2Pd
1.0
4.133 0.000 0.000
-2.067 3.579 0.000
0.000 0.000 33.630
Sr Eu Pd
3 6 3
direct
0.000 0.000 0.000 Sr
0.333 0.667 0.667 Sr
0.667 0.333 0.333 Sr
0.000 0.000 0.115 Eu
0.000 0.000 0.885 Eu
0.333 0.667 0.551 Eu
0.333 0.667 0.782 Eu
0.667 0.333 0.218 Eu
0.667 0.333 0.449 Eu
0.000 0.000 0.500 Pd
0.333 0.667 0.167 Pd
0.667 0.333 0.833 Pd
```

## Properties
Calculated formation energy ... -0.220 eV/atom

***

(13)
The following is a PBE-GGA calculation of a relaxed SrEu2Pd crystal, from Alexandria.

```
SrEu2Pd
1.0
3.784 0.000 0.000
0.000 3.784 0.000
0.000 0.000 9.882
Sr Eu Pd
1 2 1
direct
0.000 0.000 0.000 Sr
0.500 0.500 0.328 Eu
0.500 0.500 0.672 Eu
0.000 0.000 0.500 Pd
```

## Properties
Calculated formation energy ... -0.314 eV/atom

***

(14)
The following is a PBE-GGA calculation of a relaxed SrEuZnPd crystal, from Alexandria.

```
SrEuZnPd
1.0
7.500 0.000 0.000
0.000 7.500 0.000
0.000 0.000 7.500
Sr Eu Zn Pd
4 4 4 4
direct
0.000 0.000 0.000 Sr
0.000 0.500 0.500 Sr
0.500 0.000 0.500 Sr
0.500 0.500 0.000 Sr
0.000 0.000 0.500 Eu
0.000 0.500 0.000 Eu
0.500 0.000 0.000 Eu
0.500 0.500 0.500 Eu
0.250 0.250 0.250 Zn
0.250 0.750 0.750 Zn
0.750 0.250 0.750 Zn
0.750 0.750 0.250 Zn
0.250 0.250 0.750 Pd
0.250 0.750 0.250 Pd
0.750 0.250 0.250 Pd
0.750 0.750 0.750 Pd
```

## Properties
Calculated formation energy ... -0.381 eV/atom

***

(15)
The following is a PBE-GGA calculation of a relaxed TbEuPd crystal, from Alexandria.

```
TbEuPd
1.0
3.618 0.000 0.000
0.000 3.618 0.000
0.000 0.000 12.809
Tb Eu Pd
2 2 2
direct
0.000 0.000 0.000 Tb
0.500 0.500 0.500 Tb
0.000 0.000 0.732 Eu
0.500 0.500 0.232 Eu
0.000 0.000 0.388 Pd
0.500 0.500 0.888 Pd
```

## Properties
Calculated formation energy ... -0.502 eV/atom

***

(16)
The following is a PBE-GGA calculation of a relaxed TbEu2Pd crystal, from Alexandria.

```
TbEu2Pd
1.0
3.649 0.000 0.000
0.000 3.649 0.000
0.000 0.000 9.086
Tb Eu Pd
1 2 1
direct
0.000 0.000 0.000 Tb
0.500 0.500 0.307 Eu
0.500 0.500 0.693 Eu
0.000 0.000 0.500 Pd
```

## Properties
Calculated formation energy ... -0.260 eV/atom

***

(17)
The following is a PBE-GGA calculation of a relaxed TbEuPd4 crystal, from Alexandria.

```
TbEuPd4
1.0
0.000 3.882 3.882
3.882 0.000 3.882
3.882 3.882 0.000
Tb Eu Pd
1 1 4
direct
0.000 0.000 0.000 Tb
0.250 0.250 0.250 Eu
0.125 0.625 0.625 Pd
0.625 0.125 0.625 Pd
0.625 0.625 0.125 Pd
0.625 0.625 0.625 Pd
```

## Properties
Calculated formation energy ... -0.740 eV/atom

***

(18)
The following is a PBE-GGA calculation of a relaxed TbEuPd crystal, from Alexandria.

```
TbEuPd
1.0
7.063 0.000 0.000
0.000 7.063 0.000
0.000 0.000 7.063
Tb Eu Pd
4 4 4
direct
0.000 0.000 0.000 Tb
0.000 0.500 0.500 Tb
0.500 0.000 0.500 Tb
0.500 0.500 0.000 Tb
0.000 0.000 0.500 Eu
0.000 0.500 0.000 Eu
0.500 0.000 0.000 Eu
0.500 0.500 0.500 Eu
0.250 0.250 0.750 Pd
0.250 0.750 0.250 Pd
0.750 0.250 0.250 Pd
0.750 0.750 0.750 Pd
```

## Properties
Calculated formation energy ... -0.415 eV/atom

***

(19)
The following is a PBE-GGA calculation of a relaxed TbEu2Pd crystal, from Alexandria.

```
TbEu2Pd
1.0
3.751 0.000 0.000
-1.876 3.249 0.000
0.000 0.000 32.469
Tb Eu Pd
3 6 3
direct
0.000 0.000 0.000 Tb
0.333 0.667 0.667 Tb
0.667 0.333 0.333 Tb
0.000 0.000 0.106 Eu
0.000 0.000 0.894 Eu
0.333 0.667 0.560 Eu
0.333 0.667 0.773 Eu
0.667 0.333 0.227 Eu
0.667 0.333 0.440 Eu
0.000 0.000 0.500 Pd
0.333 0.667 0.167 Pd
0.667 0.333 0.833 Pd
```

## Properties
Calculated formation energy ... -0.046 eV/atom

***

(20)
The following is a PBE-GGA calculation of a relaxed Tb2EuPd crystal, from Alexandria.

```
Tb2EuPd
1.0
4.049 0.000 0.000
-2.025 3.507 0.000
0.000 0.000 28.146
Tb Eu Pd
6 3 3
direct
0.000 0.000 0.222 Tb
0.000 0.000 0.778 Tb
0.333 0.667 0.444 Tb
0.333 0.667 0.889 Tb
0.667 0.333 0.111 Tb
0.667 0.333 0.556 Tb
0.000 0.000 0.000 Eu
0.333 0.667 0.667 Eu
0.667 0.333 0.333 Eu
0.000 0.000 0.500 Pd
0.333 0.667 0.167 Pd
0.667 0.333 0.833 Pd
```

## Properties
Calculated formation energy ... -0.296 eV/atom

***

(21)
The following is a PBE-GGA calculation of a relaxed Tb2EuPd crystal, from Alexandria.

```
Tb2EuPd
1.0
3.600 0.000 0.000
0.000 3.600 0.000
0.000 0.000 8.957
Tb Eu Pd
2 1 1
direct
0.000 0.000 0.185 Tb
0.000 0.000 0.815 Tb
0.500 0.500 0.500 Eu
0.500 0.500 0.000 Pd
```

## Properties
Calculated formation energy ... -0.371 eV/atom

***

(22)
The following is a PBE-GGA calculation of a relaxed TbEuTlPd crystal, from Alexandria.

```
TbEuTlPd
1.0
7.464 0.000 0.000
0.000 7.464 0.000
0.000 0.000 7.464
Tb Eu Tl Pd
4 4 4 4
direct
0.000 0.000 0.000 Tb
0.000 0.500 0.500 Tb
0.500 0.000 0.500 Tb
0.500 0.500 0.000 Tb
0.000 0.000 0.500 Eu
0.000 0.500 0.000 Eu
0.500 0.000 0.000 Eu
0.500 0.500 0.500 Eu
0.250 0.250 0.750 Tl
0.250 0.750 0.250 Tl
0.750 0.250 0.250 Tl
0.750 0.750 0.750 Tl
0.250 0.250 0.250 Pd
0.250 0.750 0.750 Pd
0.750 0.250 0.750 Pd
0.750 0.750 0.250 Pd
```

## Properties
Calculated formation energy ... -0.470 eV/atom

***

(23)
The following is a PBE-GGA calculation of a relaxed EuTe2Pd crystal, from Alexandria.

```
EuTe2Pd
1.0
4.061 0.000 0.000
-2.030 3.517 0.000
0.000 0.000 27.650
Eu Te Pd
3 6 3
direct
0.000 0.000 0.000 Eu
0.333 0.667 0.667 Eu
0.667 0.333 0.333 Eu
0.000 0.000 0.115 Te
0.000 0.000 0.885 Te
0.333 0.667 0.551 Te
0.333 0.667 0.782 Te
0.667 0.333 0.218 Te
0.667 0.333 0.449 Te
0.000 0.000 0.500 Pd
0.333 0.667 0.167 Pd
0.667 0.333 0.833 Pd
```

## Properties
Formation energy without anion corrections ... -0.3480 eV/atom

***

(24)
The following is a PBE-GGA calculation of a relaxed EuThPd2 crystal, from Alexandria.

```
EuThPd2
1.0
7.242 0.000 0.000
0.000 7.242 0.000
0.000 0.000 7.242
Eu Th Pd
4 4 8
direct
0.000 0.000 0.000 Eu
0.000 0.500 0.500 Eu
0.500 0.000 0.500 Eu
0.500 0.500 0.000 Eu
0.000 0.000 0.500 Th
0.000 0.500 0.000 Th
0.500 0.000 0.000 Th
0.500 0.500 0.500 Th
0.250 0.250 0.250 Pd
0.250 0.250 0.750 Pd
0.250 0.750 0.250 Pd
0.250 0.750 0.750 Pd
0.750 0.250 0.250 Pd
0.750 0.250 0.750 Pd
0.750 0.750 0.250 Pd
0.750 0.750 0.750 Pd
```

## Properties
Calculated formation energy ... -0.648 eV/atom

***

(25)
The following is a PBE-GGA calculation of a relaxed EuThPd4 crystal, from Alexandria.

```
EuThPd4
1.0
0.000 3.906 3.906
3.906 0.000 3.906
3.906 3.906 0.000
Eu Th Pd
1 1 4
direct
0.000 0.000 0.000 Eu
0.250 0.250 0.250 Th
0.125 0.625 0.625 Pd
0.625 0.125 0.625 Pd
0.625 0.625 0.125 Pd
0.625 0.625 0.625 Pd
```

## Properties
Calculated formation energy ... -0.736 eV/atom

***

(26)
The following is a PBE-GGA calculation of a relaxed EuThPd2 crystal, from Alexandria.

```
EuThPd2
1.0
4.161 0.000 0.000
-2.080 3.603 0.000
0.000 0.000 21.553
Eu Th Pd
3 3 6
direct
0.000 0.000 0.000 Eu
0.333 0.667 0.667 Eu
0.667 0.333 0.333 Eu
0.000 0.000 0.500 Th
0.333 0.667 0.167 Th
0.667 0.333 0.833 Th
0.000 0.000 0.243 Pd
0.000 0.000 0.757 Pd
0.333 0.667 0.423 Pd
0.333 0.667 0.910 Pd
0.667 0.333 0.090 Pd
0.667 0.333 0.577 Pd
```

## Properties
Calculated formation energy ... -0.662 eV/atom

***

(27)
The following is a PBE-GGA calculation of a relaxed EuThPd2 crystal, from Alexandria.

```
EuThPd2
1.0
3.672 0.000 0.000
0.000 3.672 0.000
0.000 0.000 7.382
Eu Th Pd
1 1 2
direct
0.000 0.000 0.000 Eu
0.000 0.000 0.500 Th
0.500 0.500 0.289 Pd
0.500 0.500 0.711 Pd
```

## Properties
Calculated formation energy ... -0.704 eV/atom

***

(28)
The following is a PBE-GGA calculation of a relaxed EuThTlPd crystal, from Alexandria.

```
EuThTlPd
1.0
7.565 0.000 0.000
0.000 7.565 0.000
0.000 0.000 7.565
Eu Th Tl Pd
4 4 4 4
direct
0.000 0.000 0.000 Eu
0.000 0.500 0.500 Eu
0.500 0.000 0.500 Eu
0.500 0.500 0.000 Eu
0.000 0.000 0.500 Th
0.000 0.500 0.000 Th
0.500 0.000 0.000 Th
0.500 0.500 0.500 Th
0.250 0.250 0.250 Tl
0.250 0.750 0.750 Tl
0.750 0.250 0.750 Tl
0.750 0.750 0.250 Tl
0.250 0.250 0.750 Pd
0.250 0.750 0.250 Pd
0.750 0.250 0.250 Pd
0.750 0.750 0.750 Pd
```

## Properties
Calculated formation energy ... -0.339 eV/atom

***

(29)
The following is a PBE-GGA calculation of a relaxed EuThZnPd crystal, from Alexandria.

```
EuThZnPd
1.0
7.312 0.000 0.000
0.000 7.312 0.000
0.000 0.000 7.312
Eu Th Zn Pd
4 4 4 4
direct
0.000 0.000 0.000 Eu
0.000 0.500 0.500 Eu
0.500 0.000 0.500 Eu
0.500 0.500 0.000 Eu
0.000 0.000 0.500 Th
0.000 0.500 0.000 Th
0.500 0.000 0.000 Th
0.500 0.500 0.500 Th
0.250 0.250 0.750 Zn
0.250 0.750 0.250 Zn
0.750 0.250 0.250 Zn
0.750 0.750 0.750 Zn
0.250 0.250 0.250 Pd
0.250 0.750 0.750 Pd
0.750 0.250 0.750 Pd
0.750 0.750 0.250 Pd
```

## Properties
Calculated formation energy ... -0.381 eV/atom

***

(30)
The following is a PBE-GGA calculation of a relaxed EuTiPd2 crystal, from Alexandria.

```
EuTiPd2
1.0
3.270 0.000 0.000
0.000 3.270 0.000
0.000 0.000 7.335
Eu Ti Pd
1 1 2
direct
0.000 0.000 0.000 Eu
0.000 0.000 0.500 Ti
0.500 0.500 0.307 Pd
0.500 0.500 0.693 Pd
```

## Properties
Calculated formation energy ... -0.546 eV/atom

***

Calculated values (states/eV per cell) of N(E_F) for the records, taken in order: 1.92; 28.61; 12.44; 9.56; 7.13; 33.60; 24.84; 11.53; 13.49; 51.13; 46.88; 66.49; 21.36; 33.51; 8.54; 14.47; 15.75; 10.25; 39.35; 14.21; 3.88; 34.88; 32.28; 28.98; 7.16; 37.48; 11.41; 38.39; 16.89; 8.96.